[1]
Here is an optimized crystal structure of Mn2GaH2 from Alexandria via LeMat-Bulk. Energies are from PBEsol.

Cell and atoms, written as extended XYZ:
```
5
Lattice="2.7351 0.0000 0.0000 0.0000 2.7351 0.0000 -1.3676 -1.3676 5.6959" Properties=species:S:1:pos:R:3 pbc="T T T"
H 0.0000 1.3676 2.8480
H 1.3676 0.0000 2.8480
Mn 0.0000 0.0000 3.9629
Mn 1.3676 1.3676 1.7330
Ga 0.0000 0.0000 0.0000
```

Computed properties:
volume	8.52	Å³ per atom
DOS(E_F)	2.43	states/eV/cell
uncorrected energy	-29.666	eV per formula unit


[2]
Here is an optimized crystal structure of MnGaH3 from Alexandria via LeMat-Bulk. Energies are from PBEsol.

Cell and atoms, written as extended XYZ:
```
5
Lattice="3.5848 0.0000 0.0000 0.0000 3.5848 0.0000 0.0000 0.0000 3.5848" Properties=species:S:1:pos:R:3 pbc="T T T"
H 0.0000 1.7924 0.0000
H 0.0000 0.0000 1.7924
H 1.7924 0.0000 0.0000
Mn 1.7924 1.7924 1.7924
Ga 0.0000 0.0000 0.0000
```

Computed properties:
volume	9.21	Å³ per atom
DOS(E_F)	2.90	states/eV/cell
uncorrected energy	-19.452	eV per formula unit


[3]
Here is an optimized crystal structure of MnGaH3 from Alexandria via LeMat-Bulk. Energies are from PBEsol.

Cell and atoms, written as extended XYZ:
```
5
Lattice="-0.8354 2.9719 1.0728 0.4804 -0.9773 3.0814 3.1229 0.9454 -0.1870" Properties=species:S:1:pos:R:3 pbc="T T T"
H 0.2402 -0.4886 1.5407
H 1.5614 0.4727 -0.0935
H -0.4177 1.4860 0.5364
Mn 0.0000 0.0000 0.0000
Ga 1.3839 1.4700 1.9836
```

Computed properties:
volume	6.98	Å³ per atom
DOS(E_F)	1.61	states/eV/cell
uncorrected energy	-21.845	eV per formula unit


[4]
Here is an optimized crystal structure of MnGa2HRu from Alexandria via LeMat-Bulk. Energies are from PBEsol.

Cell and atoms, written as extended XYZ:
```
5
Lattice="-0.9645 0.6667 2.9571 -1.1036 -3.9678 0.5347 3.8005 -0.8638 1.4343" Properties=species:S:1:pos:R:3 pbc="T T T"
Ru 0.8662 -2.0824 2.4630
Mn -0.4822 0.3334 1.4786
Ga 1.9002 -0.4319 0.7171
Ga -0.5518 -1.9839 0.2673
H 0.0000 0.0000 0.0000
```

Computed properties:
volume	10.97	Å³ per atom
DOS(E_F)	3.16	states/eV/cell
uncorrected energy	-30.071	eV per formula unit


[5]
Here is an optimized crystal structure of GaMo2H2 from Alexandria via LeMat-Bulk. Energies are from PBEsol.

Cell and atoms, written as extended XYZ:
```
5
Lattice="-3.0904 -0.1706 -0.3893 -0.1253 -2.3643 2.0312 0.9432 4.5868 3.0019" Properties=species:S:1:pos:R:3 pbc="T T T"
H -0.3950 0.4775 2.9270
H -1.8776 1.5744 1.7168
Mo -0.4636 2.3152 2.6663
Mo -1.8090 -0.2633 1.9775
Ga 0.0000 0.0000 0.0000
```

Computed properties:
volume	9.94	Å³ per atom
DOS(E_F)	1.46	states/eV/cell
uncorrected energy	-33.775	eV per formula unit


[6]
Here is an optimized crystal structure of SrGa2MoH from Alexandria via LeMat-Bulk. Energies are from PBEsol.

Cell and atoms, written as extended XYZ:
```
5
Lattice="3.6965 0.0000 0.0000 0.0000 5.4482 0.0000 0.0000 0.0000 5.4482" Properties=species:S:1:pos:R:3 pbc="T T T"
Sr 0.0000 0.0000 0.0000
Mo 1.8482 2.7241 2.7241
Ga 0.0000 0.0000 2.7241
Ga 0.0000 2.7241 0.0000
H 1.8482 0.0000 0.0000
```

Computed properties:
volume	21.94	Å³ per atom
DOS(E_F)	3.66	states/eV/cell
uncorrected energy	-16.647	eV per formula unit


[7]
Here is an optimized crystal structure of NaGaH8N4 from Alexandria via LeMat-Bulk. Energies are from PBEsol.

Cell and atoms, written as extended XYZ:
```
56
Lattice="-2.6663 -4.8876 -1.1708 3.2403 -3.1684 5.8478 -9.6003 3.3891 7.7146" Properties=species:S:1:pos:R:3 pbc="T T T"
Na -7.4361 -2.0192 6.3200
Na -2.9622 -4.3118 2.3195
Na -6.0641 -0.3551 10.0721
Na -1.5902 -2.6478 6.0715
Ga -7.6781 1.7284 7.7588
Ga -3.7268 -1.5221 3.5288
Ga -5.2995 -3.1449 8.8628
Ga -1.3482 -6.3954 4.6327
H -6.2053 -1.8139 11.9002
H -0.8475 -2.4860 8.2878
H -6.6343 -0.5778 12.8700
H -2.2704 -3.0720 8.8212
H -9.7447 -0.7071 6.8991
H -5.4249 -3.2822 2.8308
H -6.5889 0.4826 5.8435
H -1.7434 -1.1288 2.0061
H -5.7004 0.2228 7.2160
H -1.3007 -2.2059 3.1828
H -9.9948 -1.4588 8.3231
H -5.2346 -3.2265 4.4483
H -6.0070 -4.3361 6.8494
H -0.3973 -4.5467 3.3476
H -4.6925 -3.4219 6.5124
H -0.3314 -5.9212 2.4623
H -8.6949 1.2543 9.9292
H -4.3338 -1.2451 5.8791
H -8.6289 -0.1202 9.0439
H -3.0193 -0.3308 5.5421
H -3.7917 -1.4404 7.9432
H 0.9685 -3.2081 4.0684
H -7.7256 -2.4611 9.2087
H -3.3259 -4.8897 5.1756
H -7.2829 -3.5381 10.3854
H -2.4374 -5.1495 6.5480
H -3.6014 -1.3847 9.5607
H 0.7184 -3.9598 5.4924
H -6.7559 -1.5949 3.5703
H -2.3920 -4.0892 -0.4785
H -8.1788 -2.1809 4.1037
H -2.8210 -2.8531 0.4913
N -5.8254 -0.9812 12.3793
N -1.3973 -3.3577 8.3586
N -6.2915 0.9083 6.7293
N -2.0903 -1.8841 2.6090
N -9.5603 -1.5863 7.3990
N -4.7100 -3.1889 3.5638
N -8.0696 0.6926 9.3378
N -3.4168 -1.2721 5.4158
N -5.6095 -3.3949 6.9757
N -0.9567 -5.3595 3.0537
N -4.3163 -1.4780 8.8278
N 0.5340 -3.0806 4.9925
N -6.9360 -2.7828 9.7825
N -2.7347 -5.5752 5.6623
N -7.6290 -1.3092 4.0329
N -3.2009 -3.6858 0.0122
```

Computed properties:
volume	9.60	Å³ per atom
DOS(E_F)	0.00	states/eV/cell
uncorrected energy	-71.096	eV per formula unit


[8]
Here is an optimized crystal structure of NbGa2HN from Alexandria via LeMat-Bulk. Energies are from PBEsol.

Cell and atoms, written as extended XYZ:
```
5
Lattice="-2.1820 0.7805 2.4905 -3.7935 -2.2454 -2.6199 1.0428 -4.4576 2.3106" Properties=species:S:1:pos:R:3 pbc="T T T"
H -1.0910 0.3902 1.2452
Nb 0.0000 0.0000 0.0000
Ga 0.5214 -2.2288 1.1553
Ga -1.8967 -1.1227 -1.3099
N -2.4663 -2.9613 1.0906
```

Computed properties:
volume	17.89	Å³ per atom
DOS(E_F)	4.20	states/eV/cell
uncorrected energy	-22.248	eV per formula unit


[9]
Here is an optimized crystal structure of Ga2NiP3H8NO14 from Alexandria via LeMat-Bulk. Energies are from PBEsol.

Cell and atoms, written as extended XYZ:
```
58
Lattice="-6.4776 -4.0115 3.3318 2.4451 -2.4373 7.5653 -3.6488 6.0119 5.4550" Properties=species:S:1:pos:R:3 pbc="T T T"
Ga -2.9226 1.3938 3.9165
Ga -4.2374 -5.0665 9.0898
Ga -4.7587 -1.8307 12.4356
Ga -3.4439 4.6296 7.2623
Ni -6.7565 0.9311 8.5892
Ni -0.9249 -1.3679 7.7629
P -0.6977 -0.5676 4.6665
P -2.9045 -2.4774 10.0279
P -6.9836 0.1308 11.6856
P -9.2093 0.4983 7.4254
P 1.5279 -0.9352 8.9267
P -4.7768 2.0405 6.3242
H -4.8019 -1.2278 6.1735
H -4.3815 -2.8019 5.8728
H -2.8795 0.7909 10.1786
H -3.2998 2.3650 10.4793
H -3.1553 -1.6198 5.8095
H -3.7916 -2.0154 7.2979
H -4.5261 1.1829 10.5425
H -3.8897 1.5785 9.0542
H -1.5158 -3.8966 7.5805
H -2.1228 0.8451 7.0966
H -6.1655 3.4597 8.7716
H -5.5586 -1.2820 9.2555
H -4.0847 -2.5197 2.9959
H -6.7200 -1.7960 8.2811
H -3.5966 2.0829 13.3562
H -0.9613 1.3591 8.0710
N -3.6359 1.4816 10.0698
N -4.0455 -1.9185 6.2823
O -2.9432 -4.0451 9.9513
O -1.4264 -1.2693 5.8120
O -8.7993 0.4800 8.9243
O -7.8395 0.8306 6.7710
O -0.8682 0.7444 11.1390
O 0.1581 -1.2675 9.5811
O -6.1145 -1.0240 8.4738
O -7.0126 2.9541 8.8875
O -1.5668 0.5871 7.8782
O -0.6687 -3.3910 7.4646
O -4.7381 3.6083 6.4008
O -1.3967 3.1021 11.3762
O -2.6678 -1.8625 8.6490
O -1.2188 0.9013 4.4775
O -0.9545 -1.4023 3.3859
O -4.2584 -1.9269 10.5443
O -6.7268 0.9654 12.9662
O -3.4230 1.4901 5.8078
O -2.0169 3.9068 8.1596
O -3.4391 -0.6233 12.8415
O -5.6644 -4.3437 8.1925
O -4.2423 0.1864 3.5106
O -5.0136 1.4257 7.7031
O -6.2550 0.8324 10.5401
O -6.8132 -1.1813 5.2131
O -6.2847 -3.5390 4.9759
O 1.1179 -0.9169 7.4278
O -6.4626 -1.3382 11.8746
```

Computed properties:
volume	9.73	Å³ per atom
uncorrected energy	-183.735	eV per formula unit


[10]
Here is an optimized crystal structure of Ga2P2H4NO8 from Alexandria via LeMat-Bulk. Energies are from PBEsol.

Cell and atoms, written as extended XYZ:
```
68
Lattice="9.0361 0.0407 -0.0391 0.3692 9.2028 -0.0712 -0.3692 -0.4404 9.1925" Properties=species:S:1:pos:R:3 pbc="T T T"
Ga 7.6833 3.9606 2.8526
Ga 1.3529 4.8425 6.2297
Ga 5.8709 2.7523 4.0133
Ga 3.1652 6.0507 5.0690
Ga 5.3990 1.2162 8.2431
Ga 3.6371 7.5869 0.8392
Ga 8.1552 8.2487 1.4874
Ga 0.8810 0.5544 7.5949
P 8.4422 1.9005 0.4885
P 0.5939 6.9025 8.5938
P 5.1120 0.4728 1.8600
P 3.9241 8.3303 7.2223
P 4.9733 5.4010 2.6078
P 4.0628 3.4020 6.4745
P 8.5809 2.4500 5.4427
P 0.4552 6.3531 3.6396
H 7.6041 4.3559 7.3094
H 1.4320 4.4471 1.7728
H 5.9501 7.1898 4.5871
H 3.0861 1.6133 4.4951
H 6.6293 4.1677 8.6814
H 2.4068 4.6353 0.4009
H 6.9249 8.5682 4.4541
H 2.1112 0.2349 4.6282
H 5.9769 4.9331 7.3151
H 3.0593 3.8700 1.7672
H 7.5773 7.1722 5.1641
H 1.4588 1.6308 3.9182
H 7.2030 5.6895 8.3059
H 1.8331 3.1136 0.7764
H 6.3512 8.1319 5.9596
H 2.6849 0.6712 3.1227
N 6.8466 4.7996 7.8981
N 2.1895 4.0035 1.1842
N 6.7076 7.7601 5.0540
N 2.3286 1.0430 4.0283
O 4.4558 3.9670 2.8215
O 4.5803 4.8361 6.2608
O 0.0622 2.6804 4.0575
O 8.9739 6.1227 5.0248
O 6.4735 5.4767 2.2786
O 2.5627 3.3263 6.8037
O 7.0808 2.1180 5.5052
O 1.9554 6.6850 3.5771
O 0.9388 5.5387 8.0103
O 8.0974 3.2644 1.0720
O 3.5793 7.8019 5.8361
O 5.4568 1.0012 3.2462
O 7.2264 1.1214 8.4276
O 1.8098 7.6817 0.6547
O 6.3278 8.4368 1.4001
O 2.7083 0.3663 7.6822
O 5.2015 1.5895 0.8068
O 3.8347 7.2136 8.2755
O 8.3528 0.8034 1.5620
O 0.6834 7.9997 7.5203
O 8.8850 3.6723 6.3670
O 0.1512 5.1307 2.7153
O 4.6693 6.2755 3.8663
O 4.3669 2.5276 5.2160
O 4.8625 2.8342 7.6976
O 4.1736 5.9689 1.3847
O 8.6917 7.6387 3.0822
O 0.3445 1.1644 6.0001
O 8.5319 7.3574 -0.0813
O 0.5042 1.4457 9.1636
O 5.0223 -0.3154 7.2896
O 4.0138 9.1185 1.7927
```

Computed properties:
volume	11.23	Å³ per atom
DOS(E_F)	0.00	states/eV/cell
uncorrected energy	-109.690	eV per formula unit


[11]
Here is an optimized crystal structure of Ga2P2H9NO11 from Alexandria via LeMat-Bulk. Energies are from PBEsol.

Cell and atoms, written as extended XYZ:
```
100
Lattice="9.6486 0.0000 0.0000 0.0000 9.5319 0.2870 0.0000 1.9253 9.8158" Properties=species:S:1:pos:R:3 pbc="T T T"
Ga 2.1601 1.2637 1.7628
Ga 4.4615 2.7924 8.6007
Ga 6.9844 4.4649 3.2886
Ga 9.2858 4.8615 6.2665
Ga 0.3628 6.5958 3.8363
Ga 2.6642 6.9923 6.8142
Ga 5.1871 8.6648 1.5021
Ga 7.4885 10.1935 8.3400
P 5.0941 2.2749 1.5270
P 6.5752 3.2255 6.2784
P 0.2699 3.4537 3.5244
P 1.7509 4.4284 8.5888
P 7.8977 7.0288 1.5140
P 9.3787 8.0035 6.5784
P 3.0734 8.2317 3.8244
P 4.5544 9.1823 8.5758
H 7.3503 1.0482 1.5062
H 9.4337 0.6183 1.1341
H 2.3247 0.9689 4.7150
H 8.0602 1.4827 3.6894
H 2.8651 1.5068 6.2625
H 1.3744 2.0784 5.6226
H 8.3059 2.2742 1.5249
H 9.2211 2.7428 8.1922
H 6.7788 2.5518 9.5767
H 3.4816 3.4544 3.5265
H 3.2359 4.2459 1.3620
H 2.4996 6.6975 9.7664
H 4.6094 5.1103 3.9173
H 1.9545 5.1021 5.2905
H 2.5260 4.6804 3.5452
H 4.3968 4.9111 6.6750
H 1.9591 5.3102 1.4981
H 3.4499 5.8817 0.8582
H 6.1987 5.5755 9.2446
H 7.6894 6.1471 8.6047
H 5.2518 6.5461 3.4278
H 7.1226 6.7768 6.5576
H 7.6941 6.3552 4.8123
H 5.0392 6.3469 6.1855
H 7.1490 4.7597 0.3364
H 6.4127 7.2113 8.7408
H 6.1670 8.0028 6.5763
H 2.8698 8.9054 0.5261
H 0.4275 8.7144 1.9106
H 1.3427 9.1830 8.5779
H 8.2742 9.3789 4.4802
H 6.7834 9.9504 3.8403
H 1.5884 9.9745 6.4134
H 7.3239 10.4883 5.3878
H 0.2149 10.8389 8.9687
H 2.2983 10.4090 8.5966
N 2.0360 1.2724 5.6879
N 2.7883 5.0757 0.9235
N 6.8603 6.3816 9.1793
N 7.6126 10.1849 4.4149
O 3.4846 9.6164 0.8427
O 5.6674 0.8939 1.9842
O 8.1311 1.4303 1.0172
O 8.9841 1.8142 8.5008
O 6.9749 1.7547 6.5403
O 1.5740 2.3559 0.2849
O 1.1487 2.3144 3.0589
O 3.6643 2.4735 2.1035
O 8.4885 3.2551 2.9479
O 5.9730 3.4142 1.9925
O 6.3983 3.3727 4.7665
O 0.2027 3.4037 5.0840
O 5.2281 3.5226 7.0043
O 2.7825 3.4422 8.0024
O 3.3068 4.2983 4.0343
O 7.6068 4.2117 6.8648
O 0.4038 4.1313 7.8629
O 5.0270 4.2502 9.7832
O 0.8431 4.8347 3.0673
O 5.4888 5.6176 3.7364
O 7.4980 5.5580 1.7759
O 8.3089 5.6441 4.4957
O 1.3397 5.8131 5.6071
O 2.1506 5.8993 8.3269
O 4.1598 5.8397 6.3664
O 8.8055 6.6225 7.0356
O 4.6216 7.2070 0.3196
O 9.2448 7.3260 2.2399
O 2.0418 7.2456 3.2380
O 6.3418 7.1589 6.0686
O 6.8661 8.0150 2.1004
O 4.4205 7.9346 3.0985
O 9.4459 8.0535 5.0188
O 3.2503 8.0845 5.3363
O 3.6756 8.0431 8.1103
O 1.1600 8.2021 7.1550
O 5.9843 8.9837 7.9993
O 8.4998 9.1428 7.0439
O 8.0746 9.1013 9.8179
O 2.6737 9.7026 3.5625
O 0.6645 9.6430 1.6020
O 1.5175 10.0269 9.0857
O 3.9812 10.5633 8.1187
O 6.1640 1.8408 9.2601
```

Computed properties:
volume	8.97	Å³ per atom
DOS(E_F)	0.00	states/eV/cell
uncorrected energy	-151.856	eV per formula unit


- Which value of uncorrected energy does entry 6 give?
  -16.647 eV per formula unit